This record from the Alexandria database describes crystalline BaNi2F7 at its relaxed geometry. The functional is PBE+U.

SG   Cmmm
Uncorrected energy   -4.396 eV per atom

a = 6.447 Å, b = 6.447 Å, c = 3.870 Å
α = 90.00°, β = 90.00°, γ = 121.86°
Positions (direct):
Ba 0.000 0.000 0.000
Ni 0.328 0.672 0.500
Ni 0.672 0.328 0.500
F 0.046 0.333 0.500
F 0.313 0.687 0.000
F 0.333 0.046 0.500
F 0.500 0.500 0.500
F 0.667 0.954 0.500
F 0.687 0.313 0.000
F 0.954 0.667 0.500